A geometry-optimized Li7Cd4 structure, computed with GGA-PBE.

Results
The calculation puts the total magnetization at 0.00 μB per formula unit. As for the density: 3.7 Mg/m³. The value obtained for the formation energy from the elements is -0.1376 eV per atom. As for the space-group type: P-6m2.

Cell and atoms, written as CIF:
```
data_Li7Cd4
_cell_length_a 9.177
_cell_length_b 9.177
_cell_length_c 3.050
_cell_angle_alpha 90.00
_cell_angle_beta 90.00
_cell_angle_gamma 120.00
_symmetry_space_group_name_H-M 'P 1'
_symmetry_Int_Tables_number 1
loop_
_symmetry_equiv_pos_as_xyz
'x,y,z'
loop_
_atom_site_label
_atom_site_type_symbol
_atom_site_fract_x
_atom_site_fract_y
_atom_site_fract_z
Li1 Li 0.000 0.000 0.000
Li2 Li 0.185 0.370 0.500
Li3 Li 0.185 0.815 0.500
Li4 Li 0.532 0.064 0.000
Li5 Li 0.532 0.468 0.000
Li6 Li 0.630 0.815 0.500
Li7 Li 0.936 0.468 0.000
Cd1 Cd 0.321 0.160 0.500
Cd2 Cd 0.333 0.667 0.000
Cd3 Cd 0.840 0.160 0.500
Cd4 Cd 0.840 0.679 0.500
```

***

A geometry-optimized Ac4Hg5Ge2 structure, computed with GGA-PBE.

Results
The calculation puts the total magnetization at 0.00 μB per formula unit. As for the density: 10.1 Mg/m³. The value obtained for the formation energy from the elements is -0.5108 eV per atom. As for the space-group type: P2/m.

Cell and atoms, written as CIF:
```
data_Ac4Hg5Ge2
_cell_length_a 8.135
_cell_length_b 4.394
_cell_length_c 9.473
_cell_angle_alpha 90.00
_cell_angle_beta 91.96
_cell_angle_gamma 90.00
_symmetry_space_group_name_H-M 'P 1'
_symmetry_Int_Tables_number 1
loop_
_symmetry_equiv_pos_as_xyz
'x,y,z'
loop_
_atom_site_label
_atom_site_type_symbol
_atom_site_fract_x
_atom_site_fract_y
_atom_site_fract_z
Ac1 Ac 0.203 0.000 0.355
Ac2 Ac 0.238 0.000 0.911
Ac3 Ac 0.762 0.000 0.089
Ac4 Ac 0.797 0.000 0.645
Hg1 Hg 0.141 0.500 0.627
Hg2 Hg 0.442 0.500 0.162
Hg3 Hg 0.500 0.500 0.500
Hg4 Hg 0.558 0.500 0.838
Hg5 Hg 0.859 0.500 0.373
Ge1 Ge 0.067 0.500 0.124
Ge2 Ge 0.933 0.500 0.876
```

***

A geometry-optimized Mg3ZrSb structure, computed with GGA-PBE.

Results
The calculation puts the total magnetization at 0.85 μB per formula unit. As for the density: 2.8 Mg/m³. For the energy relative to the lowest polymorph listed for this composition, the calculation gives 377 meV per atom. As for the formation energy (no corrections): 1098 meV/atom. As for the space-group type: Pm-3m.

Cell and atoms, written as CIF:
```
data_Mg3ZrSb
_cell_length_a 5.518
_cell_length_b 5.518
_cell_length_c 5.518
_cell_angle_alpha 90.00
_cell_angle_beta 90.00
_cell_angle_gamma 90.00
_symmetry_space_group_name_H-M 'P 1'
_symmetry_Int_Tables_number 1
loop_
_symmetry_equiv_pos_as_xyz
'x,y,z'
loop_
_atom_site_label
_atom_site_type_symbol
_atom_site_fract_x
_atom_site_fract_y
_atom_site_fract_z
Mg1 Mg 0.000 0.000 0.500
Mg2 Mg 0.000 0.500 0.000
Mg3 Mg 0.500 0.000 0.000
Zr1 Zr 0.000 0.000 0.000
Sb1 Sb 0.500 0.500 0.500
```

***

A geometry-optimized ScAg2Br structure, computed with GGA-PBE.

Results
The calculation puts the total magnetization at 0.00 μB per formula unit. As for the density: 6.3 Mg/m³. For the energy relative to the lowest polymorph listed for this composition, the calculation gives 209 meV per atom. As for the formation energy (no corrections): -176 meV/atom. As for the space-group type: Cmmm.

Cell and atoms, written as CIF:
```
data_ScAg2Br
_cell_length_a 5.408
_cell_length_b 5.408
_cell_length_c 3.545
_cell_angle_alpha 90.00
_cell_angle_beta 90.00
_cell_angle_gamma 120.36
_symmetry_space_group_name_H-M 'P 1'
_symmetry_Int_Tables_number 1
loop_
_symmetry_equiv_pos_as_xyz
'x,y,z'
loop_
_atom_site_label
_atom_site_type_symbol
_atom_site_fract_x
_atom_site_fract_y
_atom_site_fract_z
Sc1 Sc 0.000 0.000 0.000
Ag1 Ag 0.000 0.500 0.500
Ag2 Ag 0.500 0.000 0.500
Br1 Br 0.500 0.500 0.000
```

***

A geometry-optimized Sm4Tm2Sc3 structure, computed with GGA-PBE.

Results
The calculation puts the total magnetization at 0.00 μB per formula unit. As for the density: 6.7 Mg/m³. The value obtained for the formation energy from the elements is 0.0500 eV per atom. As for the space-group type: C2/m.

Cell and atoms, written as CIF:
```
data_Sm4Tm2Sc3
_cell_length_a 7.765
_cell_length_b 7.765
_cell_length_c 7.824
_cell_angle_alpha 107.36
_cell_angle_beta 107.36
_cell_angle_gamma 36.55
_symmetry_space_group_name_H-M 'P 1'
_symmetry_Int_Tables_number 1
loop_
_symmetry_equiv_pos_as_xyz
'x,y,z'
loop_
_atom_site_label
_atom_site_type_symbol
_atom_site_fract_x
_atom_site_fract_y
_atom_site_fract_z
Sm1 Sm 0.052 0.052 0.332
Sm2 Sm 0.276 0.276 0.667
Sm3 Sm 0.724 0.724 0.333
Sm4 Sm 0.948 0.948 0.668
Tm1 Tm 0.165 0.165 0.998
Tm2 Tm 0.835 0.835 0.002
Sc1 Sc 0.389 0.389 0.328
Sc2 Sc 0.500 0.500 0.000
Sc3 Sc 0.611 0.611 0.672
```

***

A geometry-optimized Y3Ga4Au structure, computed with GGA-PBE.

Results
The calculation puts the total magnetization at 0.00 μB per formula unit. As for the density: 6.6 Mg/m³. The value obtained for the formation energy from the elements is -0.4463 eV per atom. As for the space-group type: Immm.

Cell and atoms, written as CIF:
```
data_Y3Ga4Au
_cell_length_a 8.951
_cell_length_b 8.951
_cell_length_c 8.951
_cell_angle_alpha 156.49
_cell_angle_beta 139.17
_cell_angle_gamma 47.65
_symmetry_space_group_name_H-M 'P 1'
_symmetry_Int_Tables_number 1
loop_
_symmetry_equiv_pos_as_xyz
'x,y,z'
loop_
_atom_site_label
_atom_site_type_symbol
_atom_site_fract_x
_atom_site_fract_y
_atom_site_fract_z
Y1 Y 0.000 0.000 0.000
Y2 Y 0.282 0.782 0.500
Y3 Y 0.718 0.218 0.500
Ga1 Ga 0.102 0.379 0.722
Ga2 Ga 0.343 0.621 0.722
Ga3 Ga 0.657 0.379 0.278
Ga4 Ga 0.898 0.621 0.278
Au1 Au 0.500 0.500 0.000
```

***

A geometry-optimized Tb3CePr2Te6 structure, computed with GGA-PBE.

Results
The calculation puts the total magnetization at 1.32 μB per formula unit. As for the density: 7.4 Mg/m³. As for the formation energy (no corrections): -1369 meV/atom. As for the space-group type: C2/m.

Cell and atoms, written as CIF:
```
data_Tb3CePr2Te6
_cell_length_a 9.977
_cell_length_b 9.977
_cell_length_c 8.985
_cell_angle_alpha 104.00
_cell_angle_beta 104.00
_cell_angle_gamma 25.50
_symmetry_space_group_name_H-M 'P 1'
_symmetry_Int_Tables_number 1
loop_
_symmetry_equiv_pos_as_xyz
'x,y,z'
loop_
_atom_site_label
_atom_site_type_symbol
_atom_site_fract_x
_atom_site_fract_y
_atom_site_fract_z
Tb1 Tb 0.000 0.000 0.000
Tb2 Tb 0.331 0.331 0.665
Tb3 Tb 0.669 0.669 0.335
Ce1 Ce 0.000 0.000 0.500
Pr1 Pr 0.333 0.333 0.167
Pr2 Pr 0.667 0.667 0.833
Te1 Te 0.164 0.164 0.091
Te2 Te 0.168 0.168 0.576
Te3 Te 0.496 0.496 0.755
Te4 Te 0.504 0.504 0.245
Te5 Te 0.832 0.832 0.424
Te6 Te 0.836 0.836 0.909
```

***

A geometry-optimized Ca2HfZn structure, computed with GGA-PBE.

Results
The calculation puts the total magnetization at 0.85 μB per formula unit. As for the density: 4.9 Mg/m³. The value obtained for the formation energy from the elements is 0.5374 eV per atom. As for the space-group type: I-42d.

Cell and atoms, written as CIF:
```
data_Ca2HfZn
_cell_length_a 6.744
_cell_length_b 6.744
_cell_length_c 6.744
_cell_angle_alpha 101.96
_cell_angle_beta 101.96
_cell_angle_gamma 125.84
_symmetry_space_group_name_H-M 'P 1'
_symmetry_Int_Tables_number 1
loop_
_symmetry_equiv_pos_as_xyz
'x,y,z'
loop_
_atom_site_label
_atom_site_type_symbol
_atom_site_fract_x
_atom_site_fract_y
_atom_site_fract_z
Ca1 Ca 0.079 0.125 0.454
Ca2 Ca 0.375 0.921 0.046
Ca3 Ca 0.671 0.625 0.546
Ca4 Ca 0.875 0.329 0.954
Hf1 Hf 0.250 0.750 0.500
Hf2 Hf 0.500 0.500 0.000
Zn1 Zn 0.000 0.000 0.000
Zn2 Zn 0.750 0.250 0.500
```

***

A geometry-optimized Tl3CoH structure, computed with GGA-PBE.

Results
The calculation puts the total magnetization at 0.00 μB per formula unit. As for the density: 8.7 Mg/m³. For the energy relative to the lowest polymorph listed for this composition, the calculation gives 0 meV per atom. As for the space-group type: Pm-3m.

Cell and atoms, written as CIF:
```
data_Tl3CoH
_cell_length_a 5.043
_cell_length_b 5.043
_cell_length_c 5.043
_cell_angle_alpha 90.00
_cell_angle_beta 90.00
_cell_angle_gamma 90.00
_symmetry_space_group_name_H-M 'P 1'
_symmetry_Int_Tables_number 1
loop_
_symmetry_equiv_pos_as_xyz
'x,y,z'
loop_
_atom_site_label
_atom_site_type_symbol
_atom_site_fract_x
_atom_site_fract_y
_atom_site_fract_z
Tl1 Tl 0.000 0.000 0.500
Tl2 Tl 0.000 0.500 0.000
Tl3 Tl 0.500 0.000 0.000
Co1 Co 0.000 0.000 0.000
H1 H 0.500 0.500 0.500
```

***

A geometry-optimized LiCeErPb structure, computed with GGA-PBE.

Results
The calculation puts the total magnetization at 1.43 μB per formula unit. As for the density: 8.0 Mg/m³. The value obtained for the formation energy from the elements is -0.1677 eV per atom. As for the space-group type: F-43m.

Cell and atoms, written as CIF:
```
data_LiCeErPb
_cell_length_a 5.356
_cell_length_b 5.356
_cell_length_c 5.356
_cell_angle_alpha 60.00
_cell_angle_beta 60.00
_cell_angle_gamma 60.00
_symmetry_space_group_name_H-M 'P 1'
_symmetry_Int_Tables_number 1
loop_
_symmetry_equiv_pos_as_xyz
'x,y,z'
loop_
_atom_site_label
_atom_site_type_symbol
_atom_site_fract_x
_atom_site_fract_y
_atom_site_fract_z
Li1 Li 0.000 0.000 0.000
Ce1 Ce 0.250 0.250 0.250
Er1 Er 0.750 0.750 0.750
Pb1 Pb 0.500 0.500 0.500
```

***

Number 1: D(E_F) 4.4 states/eV per cell, E_tot -1.688 eV/atom. Number 2: D(E_F) 7.6 states/eV per cell, E_tot -2.982 eV/atom. Number 3: D(E_F) 3.7 states/eV per cell, E_tot -2.392 eV/atom. Number 4: D(E_F) 0.9 states/eV per cell, E_tot -3.603 eV/atom. Number 5: D(E_F) 13.2 states/eV per cell, E_tot -5.152 eV/atom. Number 6: D(E_F) 5.5 states/eV per cell, E_tot -4.793 eV/atom. Number 7: D(E_F) 12.3 states/eV per cell, E_tot -5.389 eV/atom. Number 8: D(E_F) 12.0 states/eV per cell, E_tot -3.270 eV/atom. Number 9: D(E_F) 3.0 states/eV per cell, E_tot -3.033 eV/atom. Number 10: D(E_F) 11.0 states/eV per cell, E_tot -4.197 eV/atom.